Material: NaAc2Th
Method: DFT, PBE
State: optimized geometry

The structure in POSCAR format:
```
NaAc2Th
1.0
3.8060 0.0000 0.0000
0.0000 3.8060 0.0000
0.0000 0.0000 11.0991
Na Ac Th
1 2 1
direct
0.5000 0.5000 0.5000
0.0000 0.0000 0.7712
0.0000 0.0000 0.2288
0.5000 0.5000 0.0000
```

The calculation puts the energy of formation at 0.1030 eV per atom. The energy relative to the lowest polymorph listed for this composition is 0.00 eV per formula unit. The spin magnetization comes out at 0.000 μB/f.u. The energy is -16.5 eV per cell. As for the space group: P4/mmm, No. 123.

=====

Material: NaAcTl2
Method: DFT, PBE
State: optimized geometry

The structure in POSCAR format:
```
NaAcTl2
1.0
-5.1277 -2.3604 0.0133
-1.0200 -4.5521 -3.1786
-0.7861 -5.0286 2.4413
Na Ac Tl
1 1 2
direct
0.0000 0.0000 0.0000
0.5000 0.5000 0.5000
0.2500 0.2500 0.2500
0.7500 0.7500 0.7500
```

The calculation puts the energy of formation at -0.2837 eV per atom. The energy relative to the lowest polymorph listed for this composition is 0.00 eV per formula unit. The spin magnetization comes out at 0.000 μB/f.u. The energy is -11.3 eV per cell. As for the space group: Fm-3m, No. 225.